Record 1
A relaxed Ba2MgCrSe crystal, computed with PBE-GGA.

Output
E_tot: -3.97 eV/atom
Crystal system: tetragonal
Formation energy from raw total energies: -0.256 eV/atom

Geometry as CIF:
```
data_Ba2MgCrSe
_symmetry_space_group_name_H-M 'P 4/m m m'
_symmetry_Int_Tables_number 123
_symmetry_space_group_name_Hall '-P 4 2'
_cell_length_a 6.418
_cell_length_b 6.418
_cell_length_c 4.834
_cell_angle_alpha 90.00
_cell_angle_beta 90.00
_cell_angle_gamma 90.00
loop_
_atom_site_label
_atom_site_type_symbol
_atom_site_fract_x
_atom_site_fract_y
_atom_site_fract_z
Ba1 Ba 0.000 0.500 0.000
Mg1 Mg 0.000 0.000 0.500
Cr1 Cr 0.500 0.500 0.500
Se1 Se 0.500 0.500 0.000
```

=====

Record 2
A relaxed LaY2TmS6 crystal, computed with PBE-GGA.

Output
E_tot: -6.79 eV/atom
Crystal system: trigonal
Formation energy from raw total energies: -2.078 eV/atom

Geometry as CIF:
```
data_LaY2TmS6
_symmetry_space_group_name_H-M 'R 3'
_symmetry_Int_Tables_number 146
_symmetry_space_group_name_Hall 'R 3'
_cell_length_a 7.0022
_cell_length_b 7.0022
_cell_length_c 18.5568
_cell_angle_alpha 90.00
_cell_angle_beta 90.00
_cell_angle_gamma 120.00
loop_
_atom_site_label
_atom_site_type_symbol
_atom_site_fract_x
_atom_site_fract_y
_atom_site_fract_z
La1 La 0.0000 0.0000 0.0000
Y1 Y 0.0000 0.0000 0.2883
Y2 Y 0.0000 0.0000 0.7938
Tm1 Tm 0.0000 0.0000 0.4904
S1 S 0.0253 0.7229 0.3910
S2 S 0.0282 0.3587 0.5566
```

=====

Record 3
A relaxed PaCoPb crystal, computed with PBE-GGA.

Output
E_tot: -6.93 eV/atom
DFT formation energy: -15.1 kJ per mole of atoms
Crystal system: monoclinic

Geometry as CIF:
```
data_PaCoPb
_symmetry_space_group_name_H-M 'C 1 m 1'
_symmetry_Int_Tables_number 8
_cell_length_a 7.338
_cell_length_b 7.213
_cell_length_c 6.349
_cell_angle_alpha 90.00
_cell_angle_beta 125.20
_cell_angle_gamma 90.00
loop_
_symmetry_equiv_pos_as_xyz
'x,y,z'
'x,-y,z'
'x+1/2,y+1/2,z'
'x+1/2,-y+1/2,z'
loop_
_atom_site_label
_atom_site_type_symbol
_atom_site_fract_x
_atom_site_fract_y
_atom_site_fract_z
Pa1 Pa 0.000 0.000 0.000
Pa2 Pa 0.003 0.500 0.006
Co1 Co 0.243 0.250 0.003
Pb1 Pb 0.063 0.248 0.503
```